Computed, not measured: a geometry-optimized Ho2Er2Tm5 structure at the PBE-GGA level of DFT.

## Properties
theoretical density	8.936	Mg/m³
density of states at the Fermi level	1.74	states/eV/atom
E above lowest polymorph	0.207	eV per atom
calculated total energy	-77.09	eV for the cell shown

Cell and atoms, written as CIF:
```
data_Ho2Er2Tm5
_chemical_formula_sum 'Ho4 Er4 Tm10'
_symmetry_space_group_name_H-M 'P 1'
_symmetry_Int_Tables_number 1
_symmetry_space_group_name_Hall 'P 1'
_cell_length_a 9.8996
_cell_length_b 9.8996
_cell_length_c 9.8996
_cell_angle_alpha 84.18
_cell_angle_beta 109.06
_cell_angle_gamma 140.78
loop_
_atom_site_label
_atom_site_fract_x
_atom_site_fract_y
_atom_site_fract_z
Ho1 0.0096 0.1282 0.1378
Ho2 0.0096 0.3718 0.3814
Ho3 0.9904 0.6282 0.6186
Ho4 0.9904 0.8718 0.8622
Er1 0.4274 0.6943 0.2331
Er2 0.4612 0.1943 0.7669
Er3 0.5629 0.0629 0.5000
Er4 0.5629 0.5629 0.0000
Tm1 0.1100 0.2941 0.7083
Tm2 0.1100 0.9017 0.3159
Tm3 0.4191 0.4067 0.5124
Tm4 0.4290 0.0270 0.1174
Tm5 0.4290 0.8116 0.9020
Tm6 0.5858 0.4017 0.2917
Tm7 0.5858 0.7941 0.6841
Tm8 0.8943 0.9067 0.4876
Tm9 0.9096 0.3116 0.8826
Tm10 0.9096 0.5270 0.0980
```


Computed, not measured: a geometry-optimized HoEr5Tm6 structure at the PBE-GGA level of DFT.

## Properties
theoretical density	9.280	Mg/m³
density of states at the Fermi level	1.40	states/eV/atom
calculated total energy	-53.92	eV for the cell shown

Cell and atoms, written as CIF:
```
data_HoEr5Tm6
_chemical_formula_sum 'Ho1 Er5 Tm6'
_symmetry_space_group_name_H-M 'P 1'
_symmetry_Int_Tables_number 1
_symmetry_space_group_name_Hall 'P 1'
_cell_length_a 6.0422
_cell_length_b 6.0422
_cell_length_c 11.5700
_cell_angle_alpha 94.99
_cell_angle_beta 94.99
_cell_angle_gamma 119.92
loop_
_atom_site_label
_atom_site_fract_x
_atom_site_fract_y
_atom_site_fract_z
Ho1 0.0000 0.0000 0.0000
Er1 0.1667 0.8333 0.5000
Er2 0.3333 0.6667 0.0000
Er3 0.5000 0.5000 0.5000
Er4 0.6667 0.3333 0.0000
Er5 0.8333 0.1667 0.5000
Tm1 0.0836 0.4170 0.2502
Tm2 0.2499 0.2499 0.7498
Tm3 0.4170 0.0836 0.2502
Tm4 0.5830 0.9164 0.7498
Tm5 0.7501 0.7501 0.2502
Tm6 0.9164 0.5830 0.7498
```


Computed, not measured: a geometry-optimized HoEr5Tm structure at the PBE-GGA level of DFT.

## Properties
theoretical density	6.957	Mg/m³
density of states at the Fermi level	1.28	states/eV/atom
E above lowest polymorph	0.814	eV per atom
calculated total energy	-49.50	eV for the cell shown

Cell and atoms, written as CIF:
```
data_HoEr5Tm
_chemical_formula_sum 'Ho2 Er10 Tm2'
_symmetry_space_group_name_H-M 'P 1'
_symmetry_Int_Tables_number 1
_symmetry_space_group_name_Hall 'P 1'
_cell_length_a 7.9484
_cell_length_b 11.6031
_cell_length_c 6.0570
_cell_angle_alpha 90.00
_cell_angle_beta 90.00
_cell_angle_gamma 90.00
loop_
_atom_site_label
_atom_site_fract_x
_atom_site_fract_y
_atom_site_fract_z
Ho1 0.0000 0.0000 0.0000
Ho2 0.5000 0.5000 0.5000
Er1 0.0000 0.0000 0.5222
Er2 0.0000 0.2436 0.2614
Er3 0.0000 0.7564 0.2614
Er4 0.1785 0.5000 0.7620
Er5 0.3215 0.0000 0.2620
Er6 0.5000 0.2564 0.7614
Er7 0.5000 0.5000 0.0222
Er8 0.5000 0.7436 0.7614
Er9 0.6785 0.0000 0.2620
Er10 0.8215 0.5000 0.7620
Tm1 0.0000 0.5000 0.2617
Tm2 0.5000 0.0000 0.7617
```


Computed, not measured: a geometry-optimized Ho7Er16Tm6 structure at the PBE-GGA level of DFT.

## Properties
theoretical density	8.652	Mg/m³
density of states at the Fermi level	1.94	states/eV/atom
calculated total energy	-124.43	eV for the cell shown

Cell and atoms, written as CIF:
```
data_Ho7Er16Tm6
_chemical_formula_sum 'Ho7 Er16 Tm6'
_symmetry_space_group_name_H-M 'P 1'
_symmetry_Int_Tables_number 1
_symmetry_space_group_name_Hall 'P 1'
_cell_length_a 10.9554
_cell_length_b 10.9554
_cell_length_c 10.9554
_cell_angle_alpha 60.00
_cell_angle_beta 60.00
_cell_angle_gamma 60.00
loop_
_atom_site_label
_atom_site_fract_x
_atom_site_fract_y
_atom_site_fract_z
Ho1 0.0000 0.0000 0.0000
Ho2 0.0000 0.0000 0.5000
Ho3 0.0000 0.5000 0.0000
Ho4 0.0000 0.5000 0.5000
Ho5 0.5000 0.0000 0.0000
Ho6 0.5000 0.0000 0.5000
Ho7 0.5000 0.5000 0.0000
Er1 0.0460 0.6513 0.6513
Er2 0.1228 0.1228 0.1228
Er3 0.1228 0.1228 0.6315
Er4 0.1228 0.6315 0.1228
Er5 0.3487 0.3487 0.3487
Er6 0.3487 0.3487 0.9540
Er7 0.3487 0.9540 0.3487
Er8 0.3685 0.8772 0.8772
Er9 0.6315 0.1228 0.1228
Er10 0.6513 0.0460 0.6513
Er11 0.6513 0.6513 0.0460
Er12 0.6513 0.6513 0.6513
Er13 0.8772 0.3685 0.8772
Er14 0.8772 0.8772 0.3685
Er15 0.8772 0.8772 0.8772
Er16 0.9540 0.3487 0.3487
Tm1 0.2752 0.2752 0.7248
Tm2 0.2752 0.7248 0.2752
Tm3 0.2752 0.7248 0.7248
Tm4 0.7248 0.2752 0.2752
Tm5 0.7248 0.2752 0.7248
Tm6 0.7248 0.7248 0.2752
```